A plane-wave DFT calculation with PBE was carried out for crystalline Nb2FePd6 at its relaxed geometry.

Structure (POSCAR):
```
Nb2FePd6
1.0
-0.515 -1.169 2.451
6.197 -4.416 -0.804
0.982 7.595 2.261
Pd Nb Fe
6 2 1
direct
0.833 0.653 0.668 Pd
0.167 0.347 0.332 Pd
0.500 0.691 0.000 Pd
0.833 0.015 0.668 Pd
0.167 0.985 0.332 Pd
0.500 0.309 0.000 Pd
0.332 0.335 0.670 Nb
0.668 0.665 0.330 Nb
0.000 0.000 0.000 Fe
```


A plane-wave DFT calculation with PBE was carried out for crystalline Nb2FePd at its relaxed geometry.

Structure (POSCAR):
```
Nb2FePd
1.0
0.000 3.174 3.174
3.174 0.000 3.174
3.174 3.174 0.000
Fe Nb Pd
1 2 1
direct
0.000 0.000 0.000 Fe
0.750 0.750 0.750 Nb
0.250 0.250 0.250 Nb
0.500 0.500 0.500 Pd
```


Short version: calculated total energy = -6.765 -8.415 eV per atom, in the order given.
Short version: energy relative to the lowest polymorph listed for this composition = 135 204 meV/atom, in the order given.
Short version: energy relative to the elements = -0.13 0.03 eV per atom, in the order given.